## BaSrCo2F8 (PBE with a Hubbard U)

Data for a relaxed structure of BaSrCo2F8.

Unit cell a=6.090 b=6.090 c=7.855 alpha=90.00 beta=90.00 gamma=120.00
Element x y z (fractional)
1 Ba 0.000 0.000 0.500
2 Sr 0.000 0.000 0.000
3 Co 0.333 0.667 0.700
4 Co 0.667 0.333 0.300
5 F 0.159 0.317 0.777
6 F 0.159 0.841 0.777
7 F 0.683 0.841 0.777
8 F 0.317 0.159 0.223
9 F 0.667 0.333 0.541
10 F 0.333 0.667 0.459
11 F 0.841 0.683 0.223
12 F 0.841 0.159 0.223

Properties
Total DFT energy (no corrections) in eV per atom: -5.2845
Size of the total moment in μB/cell: 6.000